#w
{"formula": "AlVSb2Te", "functional": "PBE", "state": "relaxed", "m_tot_mub_per_cell": 0.11, "lattice": [[5.174, 0.000, 0.000], [0.000, 5.174, 0.000], [0.000, 0.000, 5.340]], "species": ["Al", "V", "Sb", "Sb", "Te"], "frac_coords": [[0.000, 0.000, 0.000], [0.500, 0.500, 0.500], [0.000, 0.500, 0.000], [0.500, 0.000, 0.000], [0.000, 0.000, 0.500]]}



#x
{"formula": "AlVSb2Te", "functional": "PBE", "state": "relaxed", "m_tot_mub_per_cell": 0.10, "lattice": [[5.177, 0.000, 0.000], [0.000, 5.177, 0.000], [0.000, 0.000, 5.183]], "species": ["Al", "V", "Sb", "Sb", "Te"], "frac_coords": [[0.000, 0.000, 0.000], [0.500, 0.500, 0.500], [0.000, 0.500, 0.500], [0.500, 0.000, 0.500], [0.500, 0.500, 0.000]]}



Going by the energies, #x is most stable and the next is 61.3 kJ/mol of atoms up.



#w
{"formula": "AlZnSbTe2", "functional": "PBE", "state": "relaxed", "m_tot_mub_per_cell": 0.00, "lattice": [[5.377, 0.000, 0.000], [0.000, 5.377, 0.000], [0.000, 0.000, 5.306]], "species": ["Al", "Zn", "Sb", "Te", "Te"], "frac_coords": [[0.000, 0.000, 0.000], [0.500, 0.500, 0.500], [0.000, 0.000, 0.500], [0.000, 0.500, 0.000], [0.500, 0.000, 0.000]]}



#x
{"formula": "AlZnSbTe2", "functional": "PBE", "state": "relaxed", "m_tot_mub_per_cell": 0.00, "lattice": [[5.451, 0.000, 0.000], [0.000, 5.451, 0.000], [0.000, 0.000, 5.101]], "species": ["Al", "Zn", "Sb", "Te", "Te"], "frac_coords": [[0.000, 0.000, 0.000], [0.500, 0.500, 0.500], [0.500, 0.500, 0.000], [0.000, 0.500, 0.500], [0.500, 0.000, 0.500]]}



Going by the energies, #w is most stable and the next is 4.9 kJ/mol of atoms up.



#w
{"formula": "AlZnSb2Te", "functional": "PBE", "state": "relaxed", "m_tot_mub_per_cell": 0.00, "lattice": [[5.170, 0.000, 0.000], [0.000, 5.170, 0.000], [0.000, 0.000, 5.559]], "species": ["Al", "Zn", "Sb", "Sb", "Te"], "frac_coords": [[0.000, 0.000, 0.000], [0.500, 0.500, 0.500], [0.000, 0.500, 0.500], [0.500, 0.000, 0.500], [0.500, 0.500, 0.000]]}



#x
{"formula": "AlZnSb2Te", "functional": "PBE", "state": "relaxed", "m_tot_mub_per_cell": 0.00, "lattice": [[5.315, 0.000, 0.000], [0.000, 5.315, 0.000], [0.000, 0.000, 5.367]], "species": ["Al", "Zn", "Sb", "Sb", "Te"], "frac_coords": [[0.000, 0.000, 0.000], [0.500, 0.500, 0.500], [0.000, 0.500, 0.000], [0.500, 0.000, 0.000], [0.000, 0.000, 0.500]]}



Going by the energies, #x is most stable and the next is 4.0 kJ/mol of atoms up.



#w
{"formula": "ZrAlSbTe2", "functional": "PBE", "state": "relaxed", "m_tot_mub_per_cell": 0.97, "lattice": [[5.283, 0.000, 0.000], [0.000, 5.283, 0.000], [0.000, 0.000, 5.144]], "species": ["Zr", "Al", "Sb", "Te", "Te"], "frac_coords": [[0.000, 0.000, 0.000], [0.500, 0.500, 0.500], [0.500, 0.500, 0.000], [0.000, 0.500, 0.500], [0.500, 0.000, 0.500]]}



#x
{"formula": "ZrAlSbTe2", "functional": "PBE", "state": "relaxed", "m_tot_mub_per_cell": 0.00, "lattice": [[5.608, 0.000, 0.000], [0.000, 5.608, 0.000], [0.000, 0.000, 5.617]], "species": ["Zr", "Al", "Sb", "Te", "Te"], "frac_coords": [[0.000, 0.000, 0.000], [0.500, 0.500, 0.500], [0.000, 0.000, 0.500], [0.000, 0.500, 0.000], [0.500, 0.000, 0.000]]}



Going by the energies, #x is most stable and the next is 29.3 kJ/mol of atoms up.



#w
{"formula": "TiAl2Sb", "functional": "PBE", "state": "relaxed", "m_tot_mub_per_cell": 1.70, "lattice": [[0.000, 3.408, 3.408], [3.408, 0.000, 3.408], [3.408, 3.408, 0.000]], "species": ["Ti", "Al", "Al", "Sb"], "frac_coords": [[0.000, 0.000, 0.000], [0.250, 0.250, 0.250], [0.750, 0.750, 0.750], [0.500, 0.500, 0.500]]}



#x
{"formula": "TiAl2Sb", "functional": "PBE", "state": "relaxed", "m_tot_mub_per_cell": 0.00, "lattice": [[-3.874, 3.874, 2.759], [3.874, -3.874, 2.759], [3.874, 3.874, -2.759]], "species": ["Ti", "Ti", "Al", "Al", "Al", "Al", "Sb", "Sb"], "frac_coords": [[0.000, 0.000, 0.000], [0.750, 0.250, 0.500], [0.126, 0.625, 0.001], [0.375, 0.376, 0.501], [0.624, 0.125, 0.999], [0.875, 0.874, 0.499], [0.250, 0.750, 0.500], [0.500, 0.500, 0.000]]}



Going by the energies, #x is most stable and the next is 9.6 kJ/mol of atoms up.



#w
{"formula": "Ti6AlSb", "functional": "PBE", "state": "relaxed", "m_tot_mub_per_cell": 0.00, "lattice": [[4.696, 0.000, 0.000], [0.000, 2.951, 4.975], [0.000, -2.951, 4.975]], "species": ["Ti", "Ti", "Ti", "Ti", "Ti", "Ti", "Al", "Sb"], "frac_coords": [[0.000, 0.000, 0.000], [0.000, 0.503, 0.994], [0.000, 0.994, 0.503], [0.500, 0.318, 0.318], [0.500, 0.322, 0.822], [0.500, 0.822, 0.322], [0.500, 0.826, 0.826], [0.000, 0.494, 0.494]]}



#x
{"formula": "Ti6AlSb", "functional": "PBE", "state": "relaxed", "m_tot_mub_per_cell": 0.00, "lattice": [[3.866, -2.788, 0.000], [3.866, 2.788, 0.000], [-1.590, 0.000, 7.097]], "species": ["Ti", "Ti", "Ti", "Ti", "Ti", "Ti", "Al", "Sb"], "frac_coords": [[0.036, 0.548, 0.212], [0.123, 0.123, 0.428], [0.452, 0.964, 0.788], [0.548, 0.036, 0.212], [0.877, 0.877, 0.572], [0.964, 0.452, 0.788], [0.500, 0.500, 0.500], [0.000, 0.000, 0.000]]}



Going by the energies, #w is most stable and the next is 34.9 kJ/mol of atoms up.